Entry 1:
First-principles (GGA-PBE) data for an optimized crystal structure of Ta3SiOs, as listed in the Alexandria database.

The value obtained for the raw formation energy is 0.989 eV/atom. The density of states at the Fermi level is 5.03 states/eV/f.u. The volume comes out at 18.9 A^3/atom.

CIF file:
```
data_Ta3SiOs
_chemical_formula_sum 'Ta3 Si1 Os1'
_symmetry_space_group_name_H-M 'P 1'
_symmetry_Int_Tables_number 1
_cell_length_a 4.553
_cell_length_b 4.553
_cell_length_c 4.553
_cell_angle_alpha 90.00
_cell_angle_beta 90.00
_cell_angle_gamma 90.00
loop_
_symmetry_equiv_pos_as_xyz
'x,y,z'
loop_
_atom_site_label
_atom_site_type_symbol
_atom_site_fract_x
_atom_site_fract_y
_atom_site_fract_z
Ta1 Ta 0.500 0.000 0.000
Os1 Os 0.500 0.500 0.500
Ta2 Ta 0.000 0.500 0.000
Ta3 Ta 0.000 0.000 0.500
Si1 Si 0.000 0.000 0.000
```

Entry 2:
First-principles (GGA-PBE) data for an optimized crystal structure of BaTmZn, as listed in the Alexandria database.

For the formation energy, the calculation gives -0.067 eV per atom. The density of states at the Fermi level is 2.52 states/eV/f.u. The volume comes out at 32.5 A^3/atom.

CIF file:
```
data_BaTmZn
_chemical_formula_sum 'Ba1 Tm1 Zn1'
_symmetry_space_group_name_H-M 'P 1'
_symmetry_Int_Tables_number 1
_cell_length_a 3.805
_cell_length_b 3.805
_cell_length_c 7.260
_cell_angle_alpha 105.19
_cell_angle_beta 105.19
_cell_angle_gamma 90.00
loop_
_symmetry_equiv_pos_as_xyz
'x,y,z'
loop_
_atom_site_label
_atom_site_type_symbol
_atom_site_fract_x
_atom_site_fract_y
_atom_site_fract_z
Zn1 Zn 0.694 0.694 0.388
Tm1 Tm 0.289 0.289 0.577
Ba1 Ba 0.018 0.018 0.035
```

Entry 3:
First-principles (GGA-PBE) data for an optimized crystal structure of Pu10Ge3P3, as listed in the Alexandria database.

For the formation energy, the calculation gives -0.558 eV per atom. The density of states at the Fermi level is 65.95 states/eV/f.u. The volume comes out at 24.0 A^3/atom.

CIF file:
```
data_Pu10Ge3P3
_chemical_formula_sum 'Pu10 Ge3 P3'
_symmetry_space_group_name_H-M 'P 1'
_symmetry_Int_Tables_number 1
_cell_length_a 6.018
_cell_length_b 8.593
_cell_length_c 8.593
_cell_angle_alpha 120.00
_cell_angle_beta 90.00
_cell_angle_gamma 90.00
loop_
_symmetry_equiv_pos_as_xyz
'x,y,z'
loop_
_atom_site_label
_atom_site_type_symbol
_atom_site_fract_x
_atom_site_fract_y
_atom_site_fract_z
Pu1 Pu 0.000 0.000 0.271
Pu2 Pu 0.500 0.000 0.734
Pu3 Pu 0.245 0.667 0.333
Pu4 Pu 0.245 0.333 0.667
Pu5 Pu 0.000 0.271 0.000
Pu6 Pu 0.500 0.266 0.266
P1 P 0.000 0.628 0.000
Ge1 Ge 0.500 0.000 0.384
Pu7 Pu 0.000 0.729 0.729
Pu8 Pu 0.755 0.667 0.333
Ge2 Ge 0.500 0.616 0.616
Ge3 Ge 0.500 0.384 0.000
P2 P 0.000 0.372 0.372
Pu9 Pu 0.500 0.734 0.000
P3 P 0.000 0.000 0.628
Pu10 Pu 0.755 0.333 0.667
```

Entry 4:
First-principles (GGA-PBE) data for an optimized crystal structure of Rb2TlBr4, as listed in the Alexandria database.

The value obtained for the raw formation energy is -1.233 eV/atom. The density of states at the Fermi level is 2.24 states/eV/f.u. The volume comes out at 42.2 A^3/atom.

CIF file:
```
data_Rb2TlBr4
_chemical_formula_sum 'Rb2 Tl1 Br4'
_symmetry_space_group_name_H-M 'P 1'
_symmetry_Int_Tables_number 1
_cell_length_a 5.767
_cell_length_b 5.767
_cell_length_c 9.776
_cell_angle_alpha 72.85
_cell_angle_beta 72.85
_cell_angle_gamma 90.00
loop_
_symmetry_equiv_pos_as_xyz
'x,y,z'
loop_
_atom_site_label
_atom_site_type_symbol
_atom_site_fract_x
_atom_site_fract_y
_atom_site_fract_z
Br1 Br 0.500 0.000 0.000
Br2 Br 0.000 0.500 0.000
Br3 Br 0.831 0.831 0.337
Rb1 Rb 0.640 0.640 0.719
Rb2 Rb 0.360 0.360 0.281
Tl1 Tl 0.000 0.000 0.000
Br4 Br 0.169 0.169 0.663
```

Repeat the fourth record exactly.
First-principles (GGA-PBE) data for an optimized crystal structure of Rb2TlBr4, as listed in the Alexandria database.

The value obtained for the raw formation energy is -1.233 eV/atom. The density of states at the Fermi level is 2.24 states/eV/f.u. The volume comes out at 42.2 A^3/atom.

CIF file:
```
data_Rb2TlBr4
_chemical_formula_sum 'Rb2 Tl1 Br4'
_symmetry_space_group_name_H-M 'P 1'
_symmetry_Int_Tables_number 1
_cell_length_a 5.767
_cell_length_b 5.767
_cell_length_c 9.776
_cell_angle_alpha 72.85
_cell_angle_beta 72.85
_cell_angle_gamma 90.00
loop_
_symmetry_equiv_pos_as_xyz
'x,y,z'
loop_
_atom_site_label
_atom_site_type_symbol
_atom_site_fract_x
_atom_site_fract_y
_atom_site_fract_z
Br1 Br 0.500 0.000 0.000
Br2 Br 0.000 0.500 0.000
Br3 Br 0.831 0.831 0.337
Rb1 Rb 0.640 0.640 0.719
Rb2 Rb 0.360 0.360 0.281
Tl1 Tl 0.000 0.000 0.000
Br4 Br 0.169 0.169 0.663
```

> Among the records above, which one has the lowest density of states at the Fermi level?

Rb2TlBr4

> What is the density of states at the Fermi level in the first record?

5.03 states/eV/f.u.